No. 1
First-principles (PBEsol) data for a geometry-optimized LaReCl2 structure, as listed in Alexandria via LeMat-Bulk.

Unit cell a=3.2954 b=4.5154 c=5.3746 alpha=90.00 beta=90.00 gamma=90.00
Closest atoms and distances in Å follow each position.
Fractional coordinates of all 4 atoms:
Cl (0.5000, 0.0000, 0.5000)  4 Re 2.80
Re (0.0000, 0.5000, 0.5000)  4 Cl 2.80
Cl (0.0000, 0.0000, 0.0000)  4 La 2.80
La (0.5000, 0.5000, 0.0000)  4 Cl 2.80

Properties
Electronic total energy: -23.0 eV per cell
Volume: 79.97 Å³/f.u.
Crystal system: orthorhombic



No. 2
First-principles (PBEsol) data for a geometry-optimized CrC2 structure, as listed in Alexandria via LeMat-Bulk.

Unit cell a=2.5349 b=3.6671 c=5.9087 alpha=108.08 beta=102.39 gamma=90.00
Closest atoms and distances in Å follow each position.
Fractional coordinates of all 6 atoms:
C (0.9161, 0.1661, 0.8322)  1 C 1.46
C (0.2170, 0.9670, 0.4339)  3 C 1.46
Cr (0.5558, 0.3058, 0.1115)  2 C 1.99, 2 Cr 2.20
Cr (0.4442, 0.6942, 0.8885)  2 C 1.99, 2 Cr 2.20
C (0.0839, 0.8339, 0.1678)  1 C 1.46
C (0.7830, 0.0330, 0.5661)  3 C 1.46

Properties
Formation enthalpy at 0 K: 0.587 eV per atom
Volume: 25.43 Å³/f.u.
Crystal system: orthorhombic



No. 3
First-principles (PBEsol) data for a geometry-optimized BeIr3C structure, as listed in Alexandria via LeMat-Bulk.

Unit cell a=3.9869 b=3.9869 c=3.9869 alpha=90.00 beta=90.00 gamma=90.00
Closest atoms and distances in Å follow each position.
Fractional coordinates of all 5 atoms:
Ir (0.5000, 0.0000, 0.0000)  2 C 1.99
Ir (0.0000, 0.5000, 0.0000)  2 C 1.99
C (0.0000, 0.0000, 0.0000)  6 Ir 1.99
Be (0.5000, 0.5000, 0.5000)  12 Ir 2.82
Ir (0.0000, 0.0000, 0.5000)  2 C 1.99

Properties
Formation enthalpy at 0 K: 0.384 eV per atom
Volume: 63.37 Å³/f.u.
Crystal system: cubic



No. 4
First-principles (PBEsol) data for a geometry-optimized AlNi6Au structure, as listed in Alexandria via LeMat-Bulk.

Unit cell a=6.1963 b=6.1963 c=10.1426 alpha=90.00 beta=90.00 gamma=109.66
Closest atoms and distances in Å follow each position.
Fractional coordinates of all 32 atoms:
Ni (0.3672, 0.1204, 0.1296)  1 Al 2.49, 8 Ni 2.50-2.63, 3 Au 2.54-2.58
Ni (0.5000, 0.5000, 0.0000)  4 Au 2.51-2.55, 8 Ni 2.58
Ni (0.8804, 0.6275, 0.6211)  8 Ni 2.46-2.56, 3 Al 2.48-2.52, 1 Au 2.57
Ni (0.2459, 0.7541, 0.2568)  8 Ni 2.47-2.60, 2 Al 2.47-2.49, 2 Au 2.57-2.61
Al (0.2506, 0.7494, 0.5000)  12 Ni 2.47-2.54
Ni (0.7541, 0.2459, 0.7432)  8 Ni 2.47-2.60, 2 Al 2.47-2.49, 2 Au 2.57-2.61
Ni (0.3725, 0.1196, 0.6211)  8 Ni 2.46-2.56, 3 Al 2.48-2.52, 1 Au 2.57
Ni (0.5000, 0.5000, 0.5000)  2 Au 2.52, 2 Al 2.53, 8 Ni 2.54
Ni (0.6328, 0.8796, 0.1296)  1 Al 2.49, 8 Ni 2.50-2.63, 3 Au 2.54-2.58
Ni (0.1196, 0.3725, 0.6211)  8 Ni 2.46-2.56, 3 Al 2.48-2.52, 1 Au 2.57
Ni (0.2459, 0.7541, 0.7432)  8 Ni 2.47-2.60, 2 Al 2.47-2.49, 2 Au 2.57-2.61
Al (0.7494, 0.2506, 0.5000)  12 Ni 2.47-2.54
Ni (0.3672, 0.1204, 0.8704)  1 Al 2.49, 8 Ni 2.50-2.63, 3 Au 2.54-2.58
Ni (0.1204, 0.3672, 0.8704)  1 Al 2.49, 8 Ni 2.50-2.63, 3 Au 2.54-2.58
Al (0.0000, 0.0000, 0.7462)  12 Ni 2.49-2.57
Ni (0.6275, 0.8804, 0.6211)  8 Ni 2.46-2.56, 3 Al 2.48-2.52, 1 Au 2.57
Au (0.5000, 0.5000, 0.7487)  12 Ni 2.52-2.57
Ni (0.6328, 0.8796, 0.8704)  1 Al 2.49, 8 Ni 2.50-2.63, 3 Au 2.54-2.58
Ni (0.1204, 0.3672, 0.1296)  1 Al 2.49, 8 Ni 2.50-2.63, 3 Au 2.54-2.58
Au (0.5000, 0.5000, 0.2513)  12 Ni 2.52-2.57
Au (0.2518, 0.7482, 0.0000)  12 Ni 2.51-2.61
Ni (0.3725, 0.1196, 0.3789)  8 Ni 2.46-2.56, 3 Al 2.48-2.52, 1 Au 2.57
Ni (0.8804, 0.6275, 0.3789)  8 Ni 2.46-2.56, 3 Al 2.48-2.52, 1 Au 2.57
Ni (0.1196, 0.3725, 0.3789)  8 Ni 2.46-2.56, 3 Al 2.48-2.52, 1 Au 2.57
Au (0.7482, 0.2518, 0.0000)  12 Ni 2.51-2.61
Ni (0.7541, 0.2459, 0.2568)  8 Ni 2.47-2.60, 2 Al 2.47-2.49, 2 Au 2.57-2.61
Ni (0.0000, 0.0000, 0.0000)  8 Ni 2.51, 2 Au 2.55, 2 Al 2.57
Al (0.0000, 0.0000, 0.2538)  12 Ni 2.49-2.57
Ni (0.8796, 0.6328, 0.1296)  1 Al 2.49, 8 Ni 2.50-2.63, 3 Au 2.54-2.58
Ni (0.6275, 0.8804, 0.3789)  8 Ni 2.46-2.56, 3 Al 2.48-2.52, 1 Au 2.57
Ni (0.8796, 0.6328, 0.8704)  1 Al 2.49, 8 Ni 2.50-2.63, 3 Au 2.54-2.58
Ni (0.0000, 0.0000, 0.5000)  4 Al 2.50-2.54, 8 Ni 2.50

Properties
Formation enthalpy at 0 K: -0.167 eV per atom
Volume: 91.68 Å³/f.u.
Crystal system: orthorhombic



No. 5
First-principles (PBEsol) data for a geometry-optimized AgMoAs2 structure, as listed in Alexandria via LeMat-Bulk.

Unit cell a=2.7516 b=2.7516 c=9.6694 alpha=90.00 beta=90.00 gamma=102.78
Closest atoms and distances in Å follow each position.
Fractional coordinates of all 4 atoms:
Ag (0.5000, 0.5000, 0.2650)  4 Ag 2.75, 2 As 2.81, 2 Mo 2.84
Mo (0.0000, 0.0000, 0.4992)  4 As 2.60-2.90, 4 Mo 2.75, 2 Ag 2.84
As (0.5000, 0.5000, 0.7012)  4 Mo 2.60-2.90, 4 As 2.75
As (0.0000, 0.0000, 0.0345)  4 As 2.75, 2 Ag 2.81

Properties
Formation enthalpy at 0 K: 0.279 eV per atom
Volume: 71.40 Å³/f.u.
Crystal system: orthorhombic



No. 6
First-principles (PBEsol) data for a geometry-optimized Ti3TeOs structure, as listed in Alexandria via LeMat-Bulk.

Unit cell a=4.7596 b=4.7596 c=4.7596 alpha=90.00 beta=90.00 gamma=90.00
Closest atoms and distances in Å follow each position.
Fractional coordinates of all 5 atoms:
Te (0.0000, 0.0000, 0.0000)  6 Ti 2.38
Ti (0.5000, 0.0000, 0.0000)  2 Te 2.38
Ti (0.0000, 0.5000, 0.0000)  2 Te 2.38
Os (0.5000, 0.5000, 0.5000)  12 Ti 3.37
Ti (0.0000, 0.0000, 0.5000)  2 Te 2.38

Properties
Electronic total energy: -33.8 eV per cell
Volume: 107.82 Å³/f.u.
Crystal system: cubic